(1)
A geometry-optimized Na2In6PdPt structure, computed with PBE-GGA.

Computed properties:
DFT formation energy: -0.17 eV per atom
SG: Fm-3m (225)

abc: 7.415 7.415 7.415
angles: 60.00 60.00 60.00
Sites, in units of the cell vectors:
1 Na 0.250 0.250 0.250
2 Na 0.750 0.750 0.750
3 In 0.249 0.249 0.751
4 In 0.249 0.751 0.249
5 In 0.249 0.751 0.751
6 In 0.751 0.249 0.249
7 In 0.751 0.249 0.751
8 In 0.751 0.751 0.249
9 Pd 0.000 0.000 0.000
10 Pt 0.500 0.500 0.500

---

(2)
A geometry-optimized PuPa2Pb structure, computed with PBE-GGA.

Computed properties:
Offset from the most stable computed form: 142 meV per atom
DFT formation energy: 0.15 eV per atom
SG: Fm-3m (225)

abc: 5.283 5.283 5.283
angles: 60.00 60.00 60.00
Sites, in units of the cell vectors:
1 Pu 0.000 0.000 0.000
2 Pa 0.250 0.250 0.250
3 Pa 0.750 0.750 0.750
4 Pb 0.500 0.500 0.500

---

(3)
A geometry-optimized Mg2TlCoN structure, computed with PBE-GGA.

Computed properties:
Raw formation energy: -110 meV per atom
SG: P4/mmm (123)

abc: 4.557 4.557 3.696
angles: 90.00 90.00 90.00
Sites, in units of the cell vectors:
1 Mg 0.000 0.500 0.000
2 Mg 0.500 0.000 0.000
3 Tl 0.000 0.000 0.500
4 Co 0.500 0.500 0.500
5 N 0.500 0.500 0.000